(1)
The following is a DFT calculation (GGA-PBE) of a relaxed structure of KMn2Cd2.

Cell lengths 5.035, 5.035, 10.466 Å; angles 90.00, 90.00, 90.00 degrees
Space group I4/mmm (No. 139)
Unique sites:
K 0.000 0.000 0.000 [2 per cell]
Mn 0.000 0.000 0.369 [4 per cell]
Cd 0.000 0.500 0.250 [4 per cell]

Output
ΔE_f   0.581 eV/atom

(2)
The following is a DFT calculation (GGA-PBE) of a relaxed structure of Dy3TmCo8.

Cell lengths 5.0536, 5.0536, 24.7836 Å; angles 90.00, 90.00, 120.00 degrees
Space group R3m (No. 160, hexagonal axes)
Unique sites:
Dy 0.0000 0.0000 0.0000 [3 per cell]
Dy 0.0000 0.0000 0.1252 [3 per cell]
Dy 0.0000 0.0000 0.5003 [3 per cell]
Tm 0.0000 0.0000 0.6251 [3 per cell]
Co 0.0000 0.0000 0.3125 [3 per cell]
Co 0.0000 0.0000 0.8126 [3 per cell]
Co 0.0006 0.5003 0.5631 [9 per cell]
Co 0.1673 0.3345 0.3955 [9 per cell]

Output
ΔE_f   -0.218 eV/atom

(3)
The following is a DFT calculation (GGA-PBE) of a relaxed structure of Nd3Dy2Y6Er.

Cell lengths 6.224, 10.773, 11.859 Å; angles 90.00, 100.04, 90.00 degrees
Space group C2/m (No. 12)
Unique sites:
Nd 0.000 0.000 0.000 [2 per cell]
Nd 0.000 0.333 0.000 [4 per cell]
Dy 0.000 0.167 0.500 [4 per cell]
Y 0.249 0.000 0.746 [4 per cell]
Y 0.249 0.333 0.746 [8 per cell]
Er 0.000 0.500 0.500 [2 per cell]

Output
ΔE_f   0.018 eV/atom

(4)
The following is a DFT calculation (GGA-PBE) of a relaxed structure of CaZrZn2.

Cell lengths 7.582, 7.582, 6.757 Å; angles 90.00, 90.00, 90.00 degrees
Space group I-42d (No. 122)
Unique sites:
Ca 0.000 0.000 0.000 [4 per cell]
Zr 0.000 0.000 0.500 [4 per cell]
Zn 0.227 0.250 0.625 [8 per cell]

Output
ΔE_f   0.247 eV/atom

(5)
The following is a DFT calculation (GGA-PBE) of a relaxed structure of Tb2Be3CoNi12.

Cell lengths 7.3142, 7.3142, 16.3655 Å; angles 90.00, 90.00, 120.00 degrees
Space group R-3m (No. 166, hexagonal axes)
Unique sites:
Tb 0.0000 0.0000 0.1068 [6 per cell]
Be 0.0000 0.5000 0.0000 [9 per cell]
Co 0.0000 0.0000 0.5000 [3 per cell]
Ni 0.0076 0.5038 0.8745 [18 per cell]
Ni 0.0404 0.5202 0.3664 [18 per cell]

Output
ΔE_f   0.275 eV/atom

(6)
The following is a DFT calculation (GGA-PBE) of a relaxed structure of EuHoInSn.

Cell lengths 7.660, 7.660, 7.660 Å; angles 90.00, 90.00, 90.00 degrees
Space group F-43m (No. 216)
Unique sites:
Eu 0.000 0.000 0.000 [4 per cell]
Ho 0.000 0.000 0.500 [4 per cell]
In 0.250 0.250 0.250 [4 per cell]
Sn 0.250 0.250 0.750 [4 per cell]

Output
ΔE_f   -0.510 eV/atom

(7)
The following is a DFT calculation (GGA-PBE) of a relaxed structure of HgSeCl2.

Cell lengths 3.593, 4.168, 6.503 Å; angles 90.00, 90.00, 90.00 degrees
Space group Pmmm (No. 47)
Unique sites:
Hg 0.000 0.000 0.000 [1 per cell]
Se 0.500 0.000 0.500 [1 per cell]
Cl 0.000 0.500 0.500 [1 per cell]
Cl 0.500 0.500 0.000 [1 per cell]

Output
ΔE_f (raw)   0.08 eV/atom

(8)
The following is a DFT calculation (GGA-PBE) of a relaxed structure of Ho2Tl.

Cell lengths 5.3850, 5.3850, 6.6998 Å; angles 90.00, 90.00, 120.00 degrees
Space group P6_3/mmc (No. 194)
Unique sites:
Ho 0.0000 0.0000 0.0000 [2 per cell]
Ho 0.3333 0.6667 0.2500 [2 per cell]
Tl 0.3333 0.6667 0.7500 [2 per cell]

Output
ΔE_f   -0.253 eV/atom

(9)
The following is a DFT calculation (GGA-PBE) of a relaxed structure of ZrSi2Pt.

Cell lengths 6.341, 6.341, 6.341 Å; angles 90.00, 90.00, 90.00 degrees
Space group Fm-3m (No. 225)
Unique sites:
Zr 0.000 0.000 0.000 [4 per cell]
Si 0.250 0.250 0.250 [8 per cell]
Pt 0.000 0.000 0.500 [4 per cell]

Output
ΔE_f (raw)   -0.34 eV/atom

(10)
The following is a DFT calculation (GGA-PBE) of a relaxed structure of MgAu2Br.

Cell lengths 3.887, 3.887, 5.594 Å; angles 90.00, 90.00, 90.00 degrees
Space group P4/mmm (No. 123)
Unique sites:
Mg 0.000 0.000 0.000 [1 per cell]
Au 0.500 0.500 0.239 [2 per cell]
Br 0.000 0.000 0.500 [1 per cell]

Output
ΔE_f (raw)   -0.19 eV/atom

(11)
The following is a DFT calculation (GGA-PBE) of a relaxed structure of CaIr2Ru2.

Cell lengths 7.697, 7.697, 2.772 Å; angles 90.00, 90.00, 90.00 degrees
Space group P4/mbm (No. 127)
Unique sites:
Ca 0.000 0.000 0.000 [2 per cell]
Ir 0.177 0.323 0.500 [4 per cell]
Ru 0.119 0.619 0.000 [4 per cell]

Output
ΔE_f   -0.020 eV/atom

(12)
The following is a DFT calculation (GGA-PBE) of a relaxed structure of GeSbSe2.

Cell lengths 5.952, 3.736, 19.404 Å; angles 90.00, 90.00, 90.00 degrees
Space group Pnma (No. 62)
Unique sites:
Ge 0.192 0.250 0.171 [4 per cell]
Sb 0.170 0.750 0.441 [4 per cell]
Se 0.137 0.250 0.333 [4 per cell]
Se 0.163 0.750 0.075 [4 per cell]

Output
ΔE_f (raw)   -0.08 eV/atom